(1)
Cs3Tb3HfSe8 PBE relaxed; space-group type = No. 166; Fermi-level density of states = 0.0 states/eV/f.u.; energy relative to the elements, uncorrected = -160.9 kJ/mol of atoms
1.0
-7.174 3.770 1.866
2.879 -6.100 4.862
4.715 8.559 0.834
Cs Tb Hf Se
3 3 1 8
Cartesian
0.000 0.000 0.000 Cs
1.440 -3.050 2.431 Cs
-2.147 -1.165 3.364 Cs
-1.230 6.165 1.350 Tb
0.210 3.115 3.781 Tb
3.797 1.230 2.848 Tb
2.357 4.279 0.417 Hf
1.096 0.399 3.405 Se
-0.676 5.830 4.156 Se
-2.474 2.247 4.481 Se
2.894 3.982 3.080 Se
-3.995 5.470 1.913 Se
4.415 0.760 5.648 Se
-0.205 3.478 0.927 Se
0.625 2.752 6.634 Se

=====

(2)
Cs2HfTeSe4 PBE relaxed; space-group type = No. 70; Fermi-level density of states = 2.3 states/eV/f.u.; energy relative to the elements, uncorrected = -75.7 kJ/mol of atoms
1.0
-2.375 3.751 -3.645
3.039 -1.475 -8.025
-11.667 -7.028 -4.156
Cs Hf Te Se
4 2 2 8
Cartesian
-8.047 -3.953 -3.350 Cs
-5.995 0.675 -4.451 Cs
-9.715 -4.514 -9.630 Cs
-2.476 1.637 -8.018 Cs
-6.095 -1.438 -8.824 Hf
0.000 0.000 0.000 Hf
-4.908 -3.314 -7.002 Te
-1.188 1.876 -1.823 Te
0.446 -1.043 -7.784 Se
-10.067 -5.890 -5.921 Se
-10.149 -3.804 -13.514 Se
-2.236 1.234 -4.432 Se
-3.502 -1.870 -9.065 Se
-7.696 -2.576 -7.059 Se
-6.950 -2.386 -11.136 Se
-3.860 -2.673 -4.392 Se

=====

(3)
CsHfTlSe3 PBE relaxed; space-group type = No. 15; Fermi-level density of states = 0.0 states/eV/f.u.; energy relative to the elements, uncorrected = -108.2 kJ/mol of atoms
1.0
-5.462 0.764 -4.627
-3.620 -6.935 0.653
-6.300 -0.579 6.104
Cs Hf Tl Se
2 2 2 6
Cartesian
-5.395 -1.849 2.026 Cs
-9.987 -4.900 0.105 Cs
-9.970 -0.280 2.085 Hf
-5.412 -6.469 0.046 Hf
-8.693 -4.358 4.268 Tl
-6.689 -2.391 -2.137 Tl
-11.556 -5.808 3.859 Se
-12.208 -1.556 1.227 Se
-8.549 -1.194 0.256 Se
-3.826 -0.941 -1.728 Se
-3.174 -5.194 0.904 Se
-6.833 -5.555 1.874 Se

=====

(4)
Cs2Hf3TlSe8 PBE relaxed; space-group type = No. 160; Fermi-level density of states = 7.1 states/eV/f.u.; energy relative to the elements, uncorrected = -109.2 kJ/mol of atoms
1.0
-4.952 6.016 -0.594
-6.147 0.490 4.801
1.267 6.838 7.285
Cs Hf Tl Se
2 3 1 8
Cartesian
-0.913 4.789 4.703 Cs
-4.822 6.760 5.857 Cs
-2.473 3.012 -0.277 Hf
-3.067 0.264 2.406 Hf
-5.531 3.256 2.111 Hf
-9.294 8.203 6.344 Tl
-2.831 2.986 2.431 Se
-6.964 10.394 9.104 Se
-1.413 7.226 7.089 Se
-3.815 10.144 6.801 Se
-4.394 7.464 9.417 Se
-5.388 5.942 2.284 Se
-5.938 3.395 4.771 Se
-8.221 6.168 4.497 Se

=====

(5)
Cs3Tm2HfSe6 PBE relaxed; space-group type = No. 12; Fermi-level density of states = 3.5 states/eV/f.u.; energy relative to the elements, uncorrected = -147.8 kJ/mol of atoms
1.0
7.131 -0.001 0.000
-3.564 6.176 0.000
-1.189 -2.059 8.372
Cs Tm Hf Se
3 2 1 6
Cartesian
-2.346 4.099 4.186 Cs
4.723 0.017 4.186 Cs
1.189 2.058 4.186 Cs
0.003 4.116 0.000 Tm
3.563 2.060 0.000 Tm
0.000 0.000 0.000 Hf
3.520 2.136 6.845 Se
2.424 4.197 1.538 Se
-1.143 1.980 1.527 Se
0.091 4.116 6.845 Se
-0.046 -0.080 6.834 Se
2.286 0.000 1.527 Se

=====

(6)
Cs2HfU2Se6 PBE relaxed; space-group type = No. 12; Fermi-level density of states = 10.1 states/eV/f.u.; energy relative to the elements, uncorrected = -122.9 kJ/mol of atoms
1.0
-4.335 -4.333 3.444
5.497 -2.637 -3.501
4.494 3.139 7.129
Cs Hf U Se
2 1 2 6
Cartesian
-2.669 -4.046 2.268 Cs
3.832 -2.924 -2.324 Cs
2.247 1.570 3.565 Hf
4.471 -1.632 2.376 U
1.186 -2.199 4.697 U
3.936 -3.062 4.825 Se
4.878 0.864 3.771 Se
1.720 -0.769 2.248 Se
1.786 0.331 5.955 Se
0.779 -4.695 3.301 Se
3.870 -4.162 1.118 Se

=====

(7)
Cs3Y2HfSe6 PBE relaxed; space-group type = No. 12; Fermi-level density of states = 4.0 states/eV/f.u.; energy relative to the elements, uncorrected = -149.5 kJ/mol of atoms
1.0
7.192 -0.001 0.000
-3.595 6.229 0.000
-1.200 -2.078 8.383
Cs Y Hf Se
3 2 1 6
Cartesian
-2.354 4.127 4.191 Cs
4.751 0.024 4.191 Cs
1.199 2.075 4.191 Cs
0.005 4.150 0.000 Y
3.592 2.078 0.000 Y
0.000 0.000 0.000 Hf
3.535 2.179 6.841 Se
2.459 4.258 1.556 Se
-1.138 1.972 1.542 Se
0.120 4.151 6.841 Se
-0.062 -0.108 6.827 Se
2.277 -0.001 1.542 Se

=====

(8)
CsHfZn2Se PBE relaxed; space-group type = No. 123; Fermi-level density of states = 7.6 states/eV/f.u.; energy relative to the elements, uncorrected = 166.4 kJ/mol of atoms
1.0
5.944 0.000 0.000
0.000 6.926 0.000
0.000 0.000 5.944
Cs Zn Hf Se
1 2 1 1
Cartesian
0.000 0.000 0.000 Cs
0.000 0.000 2.972 Zn
2.972 0.000 0.000 Zn
0.000 3.463 0.000 Hf
2.972 3.463 2.972 Se

=====

(9)
CsHfSi2 PBE relaxed; space-group type = No. 225; Fermi-level density of states = 3.5 states/eV/f.u.; energy relative to the elements, uncorrected = 85.8 kJ/mol of atoms; polymorph energy (0 for the lowest one) = 433 meV/atom
1.0
0.000 3.610 3.610
3.610 0.000 3.610
3.610 3.610 0.000
Cs Si Hf
1 2 1
Cartesian
0.000 0.000 0.000 Cs
1.805 1.805 1.805 Si
5.416 5.416 5.416 Si
3.610 3.610 3.610 Hf

=====

(10)
CsHfSi3 PBE relaxed; space-group type = No. 221; Fermi-level density of states = 2.4 states/eV/f.u.; energy relative to the elements, uncorrected = 35.5 kJ/mol of atoms; polymorph energy (0 for the lowest one) = 0 meV/atom
1.0
-1.719 -4.835 0.968
4.437 -1.964 -1.928
2.149 0.188 4.755
Cs Si Hf
1 3 1
Cartesian
2.434 -3.305 1.897 Cs
2.219 -0.982 -0.964 Si
1.075 0.094 2.377 Si
-0.859 -2.417 0.484 Si
0.000 0.000 0.000 Hf

=====

(11)
CsHfSi2 PBE relaxed; space-group type = No. 141; Fermi-level density of states = 1.6 states/eV/f.u.; energy relative to the elements, uncorrected = 44.0 kJ/mol of atoms; polymorph energy (0 for the lowest one) = 0 meV/atom
1.0
-0.542 2.219 5.507
-5.933 0.014 -0.589
-3.570 -6.814 5.623
Cs Si Hf
2 4 2
Cartesian
-3.237 1.117 2.459 Cs
-6.370 -2.842 3.746 Cs
-2.108 0.239 6.148 Si
-5.075 0.248 5.859 Si
-3.625 -4.277 6.208 Si
-3.890 -3.167 8.963 Si
0.000 0.000 0.000 Hf
-3.674 -1.739 6.795 Hf

=====

(12)
CsHf2Si2 PBE relaxed; space-group type = No. 139; Fermi-level density of states = 1.7 states/eV/f.u.; energy relative to the elements, uncorrected = 22.4 kJ/mol of atoms; polymorph energy (0 for the lowest one) = 147 meV/atom
1.0
-2.146 0.189 4.615
1.325 -4.850 0.815
5.047 -0.426 5.175
Cs Si Hf
1 2 2
Cartesian
0.000 0.000 0.000 Cs
1.246 -1.283 6.253 Si
2.981 -3.803 4.352 Si
1.835 -1.547 3.727 Hf
2.392 -3.539 6.878 Hf

=====

no.,total moment (μB/f.u.)
1,0.0
2,0.0
3,0.0
4,0.0
5,0.0
6,6.0
7,0.0
8,1.6
9,0.0
10,0.0
11,0.0
12,0.6